(1)
# Li2AgPt

An optimized crystal structure of Li2AgPt (PBE, Alexandria via LeMat-Bulk).

The structure in CIF format:
```
data_Li2AgPt
_space_group_name_H-M_alt 'I -4 2 d'
_space_group_IT_number 122
_space_group_name_Hall 'I -4 2bw'
_cell_length_a 3.892
_cell_length_b 3.892
_cell_length_c 17.570
_cell_angle_alpha 90.00
_cell_angle_beta 90.00
_cell_angle_gamma 90.00
loop_
_atom_site_label
_atom_site_type_symbol
_atom_site_fract_x
_atom_site_fract_y
_atom_site_fract_z
Li1 Li 0.232 0.250 0.125
Ag1 Ag 0.000 0.000 0.500
Pt1 Pt 0.000 0.000 0.000
```

- formation enthalpy at 0 K (meV per atom) = -136
- total DFT energy (no corrections) (Ry/atom) = -0.24373
- M_tot (Bohr magnetons per cell) = 0.00
- D(E_F) (states/eV/f.u.) = 1.75

***

(2)
# Li3AgPt

An optimized crystal structure of Li3AgPt (PBE, Alexandria via LeMat-Bulk).

The structure in CIF format:
```
data_Li3AgPt
_space_group_name_H-M_alt 'P 1 21/m 1'
_space_group_IT_number 11
_cell_length_a 4.993
_cell_length_b 4.400
_cell_length_c 7.265
_cell_angle_alpha 90.00
_cell_angle_beta 109.60
_cell_angle_gamma 90.00
loop_
_space_group_symop_operation_xyz
'x,y,z'
'-x,-y,-z'
'-x,y+1/2,-z'
'x,-y+1/2,z'
loop_
_atom_site_label
_atom_site_type_symbol
_atom_site_fract_x
_atom_site_fract_y
_atom_site_fract_z
Li1 Li 0.037 0.250 0.311
Li2 Li 0.338 0.750 0.504
Li3 Li 0.460 0.250 0.091
Ag1 Ag 0.142 0.750 0.115
Pt1 Pt 0.273 0.250 0.696
```

- formation enthalpy at 0 K (meV per atom) = -375
- total DFT energy (no corrections) (Ry/atom) = -0.24270
- M_tot (Bohr magnetons per cell) = 0.00
- D(E_F) (states/eV/f.u.) = 0.97

***

(3)
# Li2AgPt

An optimized crystal structure of Li2AgPt (PBE, Alexandria via LeMat-Bulk).

The structure in CIF format:
```
data_Li2AgPt
_space_group_name_H-M_alt 'P 1 2/m 1'
_space_group_IT_number 10
_cell_length_a 2.815
_cell_length_b 3.693
_cell_length_c 5.690
_cell_angle_alpha 90.00
_cell_angle_beta 91.25
_cell_angle_gamma 90.00
loop_
_space_group_symop_operation_xyz
'x,y,z'
'-x,-y,-z'
'-x,y,-z'
'x,-y,z'
loop_
_atom_site_label
_atom_site_type_symbol
_atom_site_fract_x
_atom_site_fract_y
_atom_site_fract_z
Li1 Li 0.001 0.000 0.225
Ag1 Ag 0.500 0.500 0.500
Pt1 Pt 0.500 0.500 0.000
```

- formation enthalpy at 0 K (meV per atom) = -392
- total DFT energy (no corrections) (Ry/atom) = -0.26253
- M_tot (Bohr magnetons per cell) = 0.00
- D(E_F) (states/eV/f.u.) = 1.19

***

(4)
# Li8Ag2Pt

An optimized crystal structure of Li8Ag2Pt (PBE, Alexandria via LeMat-Bulk).

The structure in CIF format:
```
data_Li8Ag2Pt
_space_group_name_H-M_alt 'C 1 2/m 1'
_space_group_IT_number 12
_cell_length_a 7.167
_cell_length_b 12.696
_cell_length_c 4.454
_cell_angle_alpha 90.00
_cell_angle_beta 112.68
_cell_angle_gamma 90.00
loop_
_space_group_symop_operation_xyz
'x,y,z'
'-x,-y,-z'
'-x,y,-z'
'x,-y,z'
'x+1/2,y+1/2,z'
'-x+1/2,-y+1/2,-z'
'-x+1/2,y+1/2,-z'
'x+1/2,-y+1/2,z'
loop_
_atom_site_label
_atom_site_type_symbol
_atom_site_fract_x
_atom_site_fract_y
_atom_site_fract_z
Li1 Li 0.000 0.204 0.000
Li2 Li 0.129 0.500 0.804
Li3 Li 0.195 0.107 0.621
Ag1 Ag 0.000 0.310 0.500
Pt1 Pt 0.000 0.000 0.000
```

- formation enthalpy at 0 K (meV per atom) = -174
- total DFT energy (no corrections) (Ry/atom) = -0.19357
- M_tot (Bohr magnetons per cell) = 0.00
- D(E_F) (states/eV/f.u.) = 3.08

***

(5)
# Li2AgPt

An optimized crystal structure of Li2AgPt (PBE, Alexandria via LeMat-Bulk).

The structure in CIF format:
```
data_Li2AgPt
_space_group_name_H-M_alt 'P 1 m 1'
_space_group_IT_number 6
_cell_length_a 2.746
_cell_length_b 4.292
_cell_length_c 5.199
_cell_angle_alpha 90.00
_cell_angle_beta 104.98
_cell_angle_gamma 90.00
loop_
_space_group_symop_operation_xyz
'x,y,z'
'x,-y,z'
loop_
_atom_site_label
_atom_site_type_symbol
_atom_site_fract_x
_atom_site_fract_y
_atom_site_fract_z
Li1 Li 0.000 0.000 0.000
Li2 Li 0.122 0.500 0.280
Ag1 Ag 0.385 0.500 0.781
Pt1 Pt 0.722 0.000 0.469
```

- formation enthalpy at 0 K (meV per atom) = -345
- total DFT energy (no corrections) (Ry/atom) = -0.25906
- M_tot (Bohr magnetons per cell) = 0.00
- D(E_F) (states/eV/f.u.) = 1.39

***

(6)
# Li3Ag2Pt

An optimized crystal structure of Li3Ag2Pt (PBE, Alexandria via LeMat-Bulk).

The structure in CIF format:
```
data_Li3Ag2Pt
_space_group_name_H-M_alt 'P 1 2/m 1'
_space_group_IT_number 10
_cell_length_a 4.142
_cell_length_b 7.045
_cell_length_c 6.500
_cell_angle_alpha 90.00
_cell_angle_beta 108.53
_cell_angle_gamma 90.00
loop_
_space_group_symop_operation_xyz
'x,y,z'
'-x,-y,-z'
'-x,y,-z'
'x,-y,z'
loop_
_atom_site_label
_atom_site_type_symbol
_atom_site_fract_x
_atom_site_fract_y
_atom_site_fract_z
Li1 Li 0.000 0.234 0.000
Li2 Li 0.329 0.233 0.658
Ag1 Ag 0.165 0.500 0.331
Ag2 Ag 0.500 0.000 0.000
Ag3 Ag 0.500 0.500 0.000
Pt1 Pt 0.166 0.000 0.334
```

- formation enthalpy at 0 K (meV per atom) = -336
- total DFT energy (no corrections) (Ry/atom) = -0.23887
- M_tot (Bohr magnetons per cell) = 0.00
- D(E_F) (states/eV/f.u.) = 1.37

***

(7)
# Li2AgPt

An optimized crystal structure of Li2AgPt (PBE, Alexandria via LeMat-Bulk).

The structure in CIF format:
```
data_Li2AgPt
_space_group_name_H-M_alt 'C m m m'
_space_group_IT_number 65
_space_group_name_Hall '-C 2 2'
_cell_length_a 5.697
_cell_length_b 7.072
_cell_length_c 2.875
_cell_angle_alpha 90.00
_cell_angle_beta 90.00
_cell_angle_gamma 90.00
loop_
_atom_site_label
_atom_site_type_symbol
_atom_site_fract_x
_atom_site_fract_y
_atom_site_fract_z
Li1 Li 0.250 0.250 0.000
Ag1 Ag 0.000 0.000 0.500
Pt1 Pt 0.000 0.500 0.500
```

- formation enthalpy at 0 K (meV per atom) = -395
- total DFT energy (no corrections) (Ry/atom) = -0.26276
- M_tot (Bohr magnetons per cell) = 0.00
- D(E_F) (states/eV/f.u.) = 0.98

***

(8)
# Li5AgPt

An optimized crystal structure of Li5AgPt (PBE, Alexandria via LeMat-Bulk).

The structure in CIF format:
```
data_Li5AgPt
_space_group_name_H-M_alt 'C 1 2/c 1'
_space_group_IT_number 15
_cell_length_a 7.089
_cell_length_b 6.224
_cell_length_c 10.092
_cell_angle_alpha 90.00
_cell_angle_beta 93.28
_cell_angle_gamma 90.00
loop_
_space_group_symop_operation_xyz
'x,y,z'
'-x,-y,-z'
'-x,y,-z+1/2'
'x,-y,z+1/2'
'x+1/2,y+1/2,z'
'-x+1/2,-y+1/2,-z'
'-x+1/2,y+1/2,-z+1/2'
'x+1/2,-y+1/2,z+1/2'
loop_
_atom_site_label
_atom_site_type_symbol
_atom_site_fract_x
_atom_site_fract_y
_atom_site_fract_z
Li1 Li 0.000 0.058 0.250
Li2 Li 0.179 0.361 0.090
Li3 Li 0.211 0.337 0.384
Ag1 Ag 0.000 0.353 0.750
Pt1 Pt 0.000 0.000 0.000
```

- formation enthalpy at 0 K (meV per atom) = -260
- total DFT energy (no corrections) (Ry/atom) = -0.21295
- M_tot (Bohr magnetons per cell) = 0.00
- D(E_F) (states/eV/f.u.) = 1.41

***

(9)
# LiAg2Pt

An optimized crystal structure of LiAg2Pt (PBE, Alexandria via LeMat-Bulk).

The structure in CIF format:
```
data_LiAg2Pt
_space_group_name_H-M_alt 'C m m m'
_space_group_IT_number 65
_space_group_name_Hall '-C 2 2'
_cell_length_a 2.882
_cell_length_b 4.771
_cell_length_c 9.540
_cell_angle_alpha 90.00
_cell_angle_beta 90.00
_cell_angle_gamma 90.00
loop_
_atom_site_label
_atom_site_type_symbol
_atom_site_fract_x
_atom_site_fract_y
_atom_site_fract_z
Li1 Li 0.000 0.000 0.000
Ag1 Ag 0.000 0.500 0.239
Pt1 Pt 0.000 0.000 0.500
```

- formation enthalpy at 0 K (meV per atom) = -72
- total DFT energy (no corrections) (Ry/atom) = -0.25626
- M_tot (Bohr magnetons per cell) = 0.00
- D(E_F) (states/eV/f.u.) = 1.88

***

(10)
# LiAg6Pt

An optimized crystal structure of LiAg6Pt (PBE, Alexandria via LeMat-Bulk).

The structure in CIF format:
```
data_LiAg6Pt
_space_group_name_H-M_alt 'C 1 2/m 1'
_space_group_IT_number 12
_cell_length_a 8.007
_cell_length_b 5.431
_cell_length_c 7.578
_cell_angle_alpha 90.00
_cell_angle_beta 108.11
_cell_angle_gamma 90.00
loop_
_space_group_symop_operation_xyz
'x,y,z'
'-x,-y,-z'
'-x,y,-z'
'x,-y,z'
'x+1/2,y+1/2,z'
'-x+1/2,-y+1/2,-z'
'-x+1/2,y+1/2,-z'
'x+1/2,-y+1/2,z'
loop_
_atom_site_label
_atom_site_type_symbol
_atom_site_fract_x
_atom_site_fract_y
_atom_site_fract_z
Li1 Li 0.000 0.000 0.000
Ag1 Ag 0.142 0.000 0.437
Ag2 Ag 0.191 0.248 0.808
Pt1 Pt 0.000 0.500 0.500
```

- formation enthalpy at 0 K (meV per atom) = 119
- total DFT energy (no corrections) (Ry/atom) = -0.22150
- M_tot (Bohr magnetons per cell) = 0.00
- D(E_F) (states/eV/f.u.) = 2.59